Entry 1:
Compound: TbHoMgIr
Source: Alexandria via LeMat-Bulk
Functional: PBE
Structure: optimized geometry

Formation energy from the elements in eV/atom: -0.45

a b c (Å): 7.107 7.107 7.107
angles (deg): 90.00 90.00 90.00
Space group F-43m (No. 216)
Unique sites:
Tb1 0.000 0.000 0.000 (multiplicity 4)
Ho1 0.000 0.000 0.500 (multiplicity 4)
Mg1 0.250 0.250 0.750 (multiplicity 4)
Ir1 0.250 0.250 0.250 (multiplicity 4)

---

Entry 2:
Compound: CaW2I
Source: Alexandria via LeMat-Bulk
Functional: PBE
Structure: optimized geometry

Raw formation energy in eV per atom: 1.76
Relative energy among the computed polymorphs in meV per atom: 690.5

a b c (Å): 6.810 6.810 6.810
angles (deg): 90.00 90.00 90.00
Space group Fm-3m (No. 225)
Unique sites:
Ca1 0.000 0.000 0.000 (multiplicity 4)
W1 0.250 0.250 0.250 (multiplicity 8)
I1 0.000 0.000 0.500 (multiplicity 4)

---

Entry 3:
Compound: TbScCuPd
Source: Alexandria via LeMat-Bulk
Functional: PBE
Structure: optimized geometry

Formation energy from the elements in eV/atom: -0.54
Relative energy among the computed polymorphs in meV per atom: 10.6

a b c (Å): 6.814 6.814 6.814
angles (deg): 90.00 90.00 90.00
Space group F-43m (No. 216)
Unique sites:
Tb1 0.000 0.000 0.000 (multiplicity 4)
Sc1 0.000 0.000 0.500 (multiplicity 4)
Cu1 0.250 0.250 0.750 (multiplicity 4)
Pd1 0.250 0.250 0.250 (multiplicity 4)

---

Entry 4:
Compound: PtSI2
Source: Alexandria via LeMat-Bulk
Functional: PBE
Structure: optimized geometry

Raw formation energy in eV per atom: 0.56

a b c (Å): 7.455 7.455 7.923
angles (deg): 90.00 90.00 90.00
Space group I-42d (No. 122)
Unique sites:
Pt1 0.000 0.000 0.000 (multiplicity 4)
S1 0.000 0.000 0.500 (multiplicity 4)
I1 0.219 0.250 0.125 (multiplicity 8)

---

Entry 5:
Compound: CsGa2Pb2Br7
Source: Alexandria via LeMat-Bulk
Functional: PBE
Structure: optimized geometry

Raw formation energy in eV per atom: -0.93

a b c (Å): 6.129 24.425 6.134
angles (deg): 90.00 90.00 90.00
Space group Imm2 (No. 44)
Unique sites:
Cs1 0.000 0.000 0.000 (multiplicity 2)
Ga1 0.000 0.250 0.532 (multiplicity 4)
Pb1 0.000 0.379 0.027 (multiplicity 4)
Br1 0.000 0.117 0.530 (multiplicity 4)
Br2 0.000 0.254 0.032 (multiplicity 4)
Br3 0.000 0.383 0.534 (multiplicity 4)
Br4 0.000 0.500 0.054 (multiplicity 2)

---

Entry 6:
Compound: Tc2HgSe
Source: Alexandria via LeMat-Bulk
Functional: PBE
Structure: optimized geometry

Raw formation energy in eV per atom: 0.42
Relative energy among the computed polymorphs in meV per atom: 261.5

a b c (Å): 7.658 3.070 6.057
angles (deg): 90.00 101.54 90.00
Space group C2/m (No. 12)
Unique sites:
Tc1 0.244 0.000 0.194 (multiplicity 4)
Hg1 0.000 0.000 0.500 (multiplicity 2)
Se1 0.000 0.500 0.000 (multiplicity 2)